K2LiAsF6 | meta-GGA SCAN | single point on PBEsol structure

```
K2LiAsF6
1.0
-1.779 -4.170 3.587
1.581 -5.483 -0.930
3.774 -2.563 3.552
K As F Li
2 1 6 1
direct
0.750 0.750 0.750
0.250 0.250 0.250
0.000 0.000 0.000
0.749 0.749 0.251
0.749 0.251 0.749
0.251 0.749 0.251
0.749 0.251 0.251
0.251 0.251 0.749
0.251 0.749 0.749
0.500 0.500 0.500
```

ρ: 3.3 g/cm³
DOS(E_F): 0.0 states/eV/cell
Symmetry: Fm-3m (225)
M_tot: 0.000 μB per formula unit
Raw formation energy: -2.70 eV per atom